No. 1
Below is a relaxed structure of KRhSe2N, with properties calculated at the GGA-PBE level.

abc: 5.725 5.725 4.794
angles: 90.00 90.00 90.00
Last column: magnetic moment on the atom in μB.
Sites, in units of the cell vectors:
Se: 0.500 0.000 0.000  0.61
Se: 0.000 0.500 0.000  0.61
N: 0.000 0.000 0.500  1.78
Rh: 0.500 0.500 0.500  1.80
K: 0.000 0.000 0.000  0.09

Computed properties:
**Space group**: P4/mmm
**ΔE to the lowest computed polymorph**: 1.9934 eV per atom

=====

No. 2
Below is a relaxed structure of KSnRhN2, with properties calculated at the GGA-PBE level.

abc: 4.116 5.449 4.116
angles: 90.00 90.00 90.00
Last column: magnetic moment on the atom in μB.
Sites, in units of the cell vectors:
N: 0.500 0.000 0.000  0.30
N: 0.000 0.000 0.500  0.26
Sn: 0.000 0.500 0.000  -0.03
K: 0.500 0.500 0.500  -0.01
Rh: 0.000 0.000 0.000  0.04

Computed properties:
**Space group**: P4/mmm

=====

No. 3
Below is a relaxed structure of KTeRhN2, with properties calculated at the GGA-PBE level.

abc: 4.617 4.617 6.863
angles: 90.00 90.00 90.00
Last column: magnetic moment on the atom in μB.
Sites, in units of the cell vectors:
K: 0.000 0.000 0.000  0.15
Rh: 0.500 0.500 0.500  1.40
N: 0.500 0.000 0.000  1.70
N: 0.000 0.500 0.000  1.70
Te: 0.000 0.000 0.500  0.21

Computed properties:
**Space group**: P4/mmm
**ΔE to the lowest computed polymorph**: 1.4378 eV per atom

=====

No. 4
Below is a relaxed structure of KTeRhN2, with properties calculated at the GGA-PBE level.

abc: 4.110 4.110 5.635
angles: 90.00 90.00 90.00
Last column: magnetic moment on the atom in μB.
Sites, in units of the cell vectors:
N: 0.500 0.000 0.000  0.27
N: 0.000 0.500 0.000  0.27
K: 0.500 0.500 0.500  0.00
Rh: 0.000 0.000 0.000  -0.03
Te: 0.000 0.000 0.500  0.02

Computed properties:
**Space group**: P4/mmm
**ΔE to the lowest computed polymorph**: 0.0000 eV per atom

=====

Number 1: total magnetic moment 1.319 μB/atom, formation energy (no corrections) 2.054 eV/atom. Number 2: total magnetic moment 0.148 μB/atom, formation energy (no corrections) 1.214 eV/atom. Number 3: total magnetic moment 1.422 μB/atom, formation energy (no corrections) 2.497 eV/atom. Number 4: total magnetic moment 0.150 μB/atom, formation energy (no corrections) 1.059 eV/atom.